Record 1
# Ba4SrGe4

A relaxed Ba4SrGe4 crystal (GGA-PBE, Alexandria via LeMat-Bulk).

Unit cell a=10.060 b=10.060 c=6.801 alpha=90.00 beta=90.00 gamma=90.00
Fractional coordinates of all 18 atoms:
Ba1 0.052 0.670 0.109
Ba2 0.170 0.948 0.609
Ba3 0.330 0.552 0.609
Ba4 0.448 0.830 0.109
Ba5 0.552 0.170 0.891
Ba6 0.670 0.448 0.391
Ba7 0.830 0.052 0.391
Ba8 0.948 0.330 0.891
Sr1 0.250 0.250 0.250
Sr2 0.750 0.750 0.750
Ge1 0.004 0.608 0.594
Ge2 0.108 0.996 0.094
Ge3 0.392 0.504 0.094
Ge4 0.496 0.892 0.594
Ge5 0.504 0.108 0.406
Ge6 0.608 0.496 0.906
Ge7 0.892 0.004 0.906
Ge8 0.996 0.392 0.406

Computed properties:
Its calculated volume is 688 Å³/cell. The formation energy from the elements is -443 meV per atom. The calculation puts the density of states at the Fermi level at 16.77 states/eV per cell. For the theoretical density, the calculation gives 4.47 Mg/m³. The value obtained for the size of the total moment is 0.000 μB/atom. As for the space group: No. 86.

---

Record 2
# Ba3Sr3Ge4

A relaxed Ba3Sr3Ge4 crystal (GGA-PBE, Alexandria via LeMat-Bulk).

Unit cell a=5.039 b=8.382 c=8.382 alpha=90.71 beta=90.00 gamma=90.00
Fractional coordinates of all 10 atoms:
Ba1 0.000 0.000 0.000
Ba2 0.000 0.161 0.502
Ba3 0.000 0.502 0.161
Sr1 0.000 0.658 0.658
Sr2 0.500 0.332 0.830
Sr3 0.500 0.830 0.332
Ge1 0.500 0.223 0.223
Ge2 0.500 0.444 0.444
Ge3 0.500 0.717 0.931
Ge4 0.500 0.931 0.717

Computed properties:
Its calculated volume is 354 Å³/cell. The formation energy from the elements is -484 meV per atom. The calculation puts the density of states at the Fermi level at 10.16 states/eV per cell. For the theoretical density, the calculation gives 4.53 Mg/m³. The value obtained for the size of the total moment is 0.057 μB/atom. As for the space group: No. 38.

---

Record 3
# Ba2Sr3Ge4

A relaxed Ba2Sr3Ge4 crystal (GGA-PBE, Alexandria via LeMat-Bulk).

Unit cell a=8.770 b=8.580 c=8.277 alpha=90.00 beta=104.56 gamma=90.00
Fractional coordinates of all 18 atoms:
Ba1 0.199 0.177 0.092
Ba2 0.199 0.323 0.592
Ba3 0.801 0.677 0.408
Ba4 0.801 0.823 0.908
Sr1 0.242 0.680 0.252
Sr2 0.242 0.820 0.752
Sr3 0.500 0.000 0.500
Sr4 0.500 0.500 0.000
Sr5 0.758 0.180 0.248
Sr6 0.758 0.320 0.748
Ge1 0.075 0.526 0.890
Ge2 0.075 0.974 0.390
Ge3 0.498 0.607 0.608
Ge4 0.498 0.893 0.108
Ge5 0.502 0.107 0.892
Ge6 0.502 0.393 0.392
Ge7 0.925 0.026 0.610
Ge8 0.925 0.474 0.110

Computed properties:
Its calculated volume is 603 Å³/cell. The formation energy from the elements is -567 meV per atom. The calculation puts the density of states at the Fermi level at 23.13 states/eV per cell. For the theoretical density, the calculation gives 4.56 Mg/m³. The value obtained for the size of the total moment is 0.000 μB/atom. As for the space group: No. 14.